Material: La3Nd2Y8
Method: DFT, PBE
State: relaxed

Total magnetic moment   0.00 Bohr magnetons per cell
Crystal system   triclinic
Formation energy from the elements   0.02 eV per atom
Total energy   -5.827 eV/atom
D(E_F)   20.32 states/eV per cell
Volume   33.80 Å³/atom

Cell: 6.287 6.301 11.456 Å, 89.78 79.27 80.34°
Fractional positions:
La: 0.000 0.000 0.000
La: 0.227 0.463 0.077
La: 0.773 0.537 0.923
Nd: 0.386 0.769 0.463
Nd: 0.614 0.231 0.537
Y: 0.077 0.152 0.690
Y: 0.154 0.307 0.386
Y: 0.308 0.613 0.766
Y: 0.463 0.924 0.157
Y: 0.537 0.076 0.843
Y: 0.692 0.387 0.234
Y: 0.846 0.693 0.614
Y: 0.923 0.848 0.310

---

Material: La4Nd5Y3
Method: DFT, PBE
State: relaxed

Total magnetic moment   0.00 Bohr magnetons per cell
Crystal system   monoclinic
Formation energy from the elements   0.20 eV per atom
Total energy   -5.044 eV/atom
D(E_F)   20.64 states/eV per cell
Volume   35.98 Å³/atom

Cell: 8.857 8.857 9.600 Å, 115.37 115.37 40.11°
Fractional positions:
La: 0.084 0.084 0.442
La: 0.218 0.218 0.877
La: 0.782 0.782 0.123
La: 0.916 0.916 0.558
Nd: 0.000 0.000 0.000
Nd: 0.329 0.329 0.611
Nd: 0.426 0.426 0.297
Nd: 0.574 0.574 0.703
Nd: 0.671 0.671 0.389
Y: 0.209 0.209 0.227
Y: 0.500 0.500 0.000
Y: 0.791 0.791 0.773

---

Material: La8Nd3Y3
Method: DFT, PBE
State: relaxed

Total magnetic moment   0.00 Bohr magnetons per cell
Crystal system   orthorhombic
Formation energy from the elements   0.09 eV per atom
Total energy   -5.130 eV/atom
D(E_F)   17.94 states/eV per cell
Volume   35.34 Å³/atom

Cell: 9.949 9.949 9.949 Å, 146.37 112.08 77.96°
Fractional positions:
La: 0.055 0.393 0.662
La: 0.075 0.230 0.844
La: 0.269 0.607 0.662
La: 0.386 0.230 0.156
La: 0.614 0.770 0.844
La: 0.731 0.393 0.338
La: 0.925 0.770 0.156
La: 0.945 0.607 0.338
Nd: 0.000 0.000 0.000
Nd: 0.303 0.000 0.303
Nd: 0.697 0.000 0.697
Y: 0.323 0.823 0.500
Y: 0.500 0.500 0.000
Y: 0.677 0.177 0.500

---

Material: LaNd4Y7
Method: DFT, PBE
State: relaxed

Total magnetic moment   0.01 Bohr magnetons per cell
Crystal system   monoclinic
Formation energy from the elements   0.25 eV per atom
Total energy   -5.517 eV/atom
D(E_F)   21.26 states/eV per cell
Volume   34.93 Å³/atom

Cell: 6.823 6.823 12.894 Å, 114.45 114.45 51.87°
Fractional positions:
La: 0.000 0.000 0.000
Nd: 0.230 0.230 0.671
Nd: 0.365 0.365 0.224
Nd: 0.635 0.635 0.776
Nd: 0.770 0.770 0.329
Y: 0.066 0.066 0.320
Y: 0.210 0.210 0.923
Y: 0.367 0.367 0.502
Y: 0.500 0.500 0.000
Y: 0.633 0.633 0.498
Y: 0.790 0.790 0.077
Y: 0.934 0.934 0.680

---

Material: La4NdY5
Method: DFT, PBE
State: relaxed

Total magnetic moment   0.00 Bohr magnetons per cell
Crystal system   triclinic
Formation energy from the elements   0.19 eV per atom
Total energy   -5.487 eV/atom
D(E_F)   16.24 states/eV per cell
Volume   35.78 Å³/atom

Cell: 3.572 8.904 11.478 Å, 90.21 90.02 101.47°
Fractional positions:
La: 0.035 0.063 0.249
La: 0.353 0.684 0.251
La: 0.647 0.316 0.749
La: 0.965 0.937 0.751
Nd: 0.500 0.000 0.500
Y: 0.170 0.347 0.052
Y: 0.172 0.350 0.443
Y: 0.500 0.000 0.000
Y: 0.828 0.650 0.557
Y: 0.830 0.653 0.948

---

Material: LaNd2Y8
Method: DFT, PBE
State: relaxed

Total magnetic moment   0.00 Bohr magnetons per cell
Crystal system   monoclinic
Formation energy from the elements   0.14 eV per atom
Total energy   -5.876 eV/atom
D(E_F)   19.23 states/eV per cell
Volume   34.85 Å³/atom

Cell: 10.268 10.268 5.611 Å, 92.77 92.77 40.45°
Fractional positions:
La: 0.000 0.000 0.000
Nd: 0.285 0.285 0.752
Nd: 0.715 0.715 0.248
Y: 0.135 0.601 0.269
Y: 0.187 0.187 0.234
Y: 0.399 0.865 0.731
Y: 0.453 0.453 0.762
Y: 0.547 0.547 0.238
Y: 0.601 0.135 0.269
Y: 0.813 0.813 0.766
Y: 0.865 0.399 0.731

---

Material: LaNd4Y2
Method: DFT, PBE
State: relaxed

Total magnetic moment   0.00 Bohr magnetons per cell
Crystal system   orthorhombic
Formation energy from the elements   0.22 eV per atom
Total energy   -5.056 eV/atom
D(E_F)   20.05 states/eV per cell
Volume   35.66 Å³/atom

Cell: 9.160 9.160 9.160 Å, 135.27 101.53 95.14°
Fractional positions:
La: 0.000 0.000 0.000
La: 0.500 0.000 0.500
Nd: 0.149 0.644 0.505
Nd: 0.242 0.273 0.531
Nd: 0.242 0.710 0.969
Nd: 0.361 0.356 0.005
Nd: 0.639 0.644 0.995
Nd: 0.758 0.290 0.031
Nd: 0.758 0.727 0.469
Nd: 0.851 0.356 0.495
Y: 0.030 0.780 0.250
Y: 0.500 0.000 0.000
Y: 0.500 0.500 0.500
Y: 0.970 0.220 0.750

---

Material: LaNd7Y12
Method: DFT, PBE
State: relaxed

Total magnetic moment   0.00 Bohr magnetons per cell
Crystal system   trigonal
Formation energy from the elements   0.21 eV per atom
Total energy   -5.584 eV/atom
D(E_F)   38.98 states/eV per cell
Volume   34.37 Å³/atom

Cell: 8.827 8.827 8.827 Å, 89.11 89.11 89.11°
Fractional positions:
La: 0.000 0.000 0.000
Nd: 0.001 0.358 0.882
Nd: 0.118 0.999 0.642
Nd: 0.358 0.882 0.001
Nd: 0.500 0.500 0.500
Nd: 0.642 0.118 0.999
Nd: 0.882 0.001 0.358
Nd: 0.999 0.642 0.118
Y: 0.117 0.345 0.445
Y: 0.223 0.631 0.762
Y: 0.238 0.777 0.369
Y: 0.345 0.445 0.117
Y: 0.369 0.238 0.777
Y: 0.445 0.117 0.345
Y: 0.555 0.883 0.655
Y: 0.631 0.762 0.223
Y: 0.655 0.555 0.883
Y: 0.762 0.223 0.631
Y: 0.777 0.369 0.238
Y: 0.883 0.655 0.555

---

Material: La6Nd2Y5
Method: DFT, PBE
State: relaxed

Total magnetic moment   0.00 Bohr magnetons per cell
Crystal system   orthorhombic
Formation energy from the elements   0.11 eV per atom
Total energy   -5.387 eV/atom
D(E_F)   37.77 states/eV per cell
Volume   35.63 Å³/atom

Cell: 11.962 20.962 3.694 Å, 90.00 90.00 90.00°
Fractional positions:
La: 0.059 0.077 0.000
La: 0.077 0.364 0.000
La: 0.177 0.629 0.500
La: 0.323 0.129 0.500
La: 0.423 0.864 0.000
La: 0.441 0.577 0.000
La: 0.559 0.423 0.000
La: 0.577 0.136 0.000
La: 0.677 0.871 0.500
La: 0.823 0.371 0.500
La: 0.923 0.636 0.000
La: 0.941 0.923 0.000
Nd: 0.167 0.785 0.000
Nd: 0.333 0.285 0.000
Nd: 0.667 0.715 0.000
Nd: 0.833 0.215 0.000
Y: 0.000 0.500 0.500
Y: 0.093 0.223 0.500
Y: 0.201 0.942 0.500
Y: 0.299 0.442 0.500
Y: 0.407 0.723 0.500
Y: 0.500 0.000 0.500
Y: 0.593 0.277 0.500
Y: 0.701 0.558 0.500
Y: 0.799 0.058 0.500
Y: 0.907 0.777 0.500

---

Material: LaNd2Y3
Method: DFT, PBE
State: relaxed

Total magnetic moment   0.00 Bohr magnetons per cell
Crystal system   orthorhombic
Formation energy from the elements   0.24 eV per atom
Total energy   -5.398 eV/atom
D(E_F)   19.62 states/eV per cell
Volume   34.49 Å³/atom

Cell: 6.717 17.937 3.435 Å, 90.00 90.00 90.00°
Fractional positions:
La: 0.000 0.000 0.000
La: 0.500 0.500 0.500
Nd: 0.227 0.349 0.500
Nd: 0.273 0.849 0.000
Nd: 0.727 0.151 0.000
Nd: 0.773 0.651 0.500
Y: 0.000 0.500 0.000
Y: 0.232 0.181 0.000
Y: 0.268 0.681 0.500
Y: 0.500 0.000 0.500
Y: 0.732 0.319 0.500
Y: 0.768 0.819 0.000

---

Material: LaNd3Y6
Method: DFT, PBE
State: relaxed

Total magnetic moment   0.00 Bohr magnetons per cell
Crystal system   trigonal
Formation energy from the elements   0.26 eV per atom
Total energy   -5.538 eV/atom
D(E_F)   22.52 states/eV per cell
Volume   34.06 Å³/atom

Cell: 6.987 6.987 6.987 Å, 91.77 91.77 91.77°
Fractional positions:
La: 0.000 0.000 0.000
Nd: 0.250 0.250 0.250
Nd: 0.500 0.500 0.500
Nd: 0.750 0.750 0.750
Y: 0.174 0.824 0.499
Y: 0.327 0.671 0.999
Y: 0.499 0.174 0.824
Y: 0.671 0.999 0.327
Y: 0.824 0.499 0.174
Y: 0.999 0.327 0.671

---

Material: La2Nd2Y3
Method: DFT, PBE
State: relaxed

Total magnetic moment   0.00 Bohr magnetons per cell
Crystal system   monoclinic
Formation energy from the elements   0.12 eV per atom
Total energy   -5.416 eV/atom
D(E_F)   25.00 states/eV per cell
Volume   34.93 Å³/atom

Cell: 17.993 3.538 8.804 Å, 90.00 119.25 90.00°
Fractional positions:
La: 0.066 0.000 0.414
La: 0.434 0.500 0.586
La: 0.566 0.500 0.414
La: 0.934 0.000 0.586
Nd: 0.151 0.500 0.842
Nd: 0.349 0.000 0.158
Nd: 0.651 0.000 0.842
Nd: 0.849 0.500 0.158
Y: 0.000 0.500 0.000
Y: 0.213 0.500 0.302
Y: 0.287 0.000 0.698
Y: 0.500 0.000 0.000
Y: 0.713 0.000 0.302
Y: 0.787 0.500 0.698

---

Material: La4Nd5Y2
Method: DFT, PBE
State: relaxed

Total magnetic moment   0.00 Bohr magnetons per cell
Crystal system   monoclinic
Formation energy from the elements   0.02 eV per atom
Total energy   -5.116 eV/atom
D(E_F)   19.90 states/eV per cell
Volume   35.41 Å³/atom

Cell: 12.221 12.221 9.025 Å, 104.21 104.21 17.36°
Fractional positions:
La: 0.045 0.045 0.363
La: 0.318 0.318 0.544
La: 0.682 0.682 0.456
La: 0.955 0.955 0.637
Nd: 0.136 0.136 0.089
Nd: 0.227 0.227 0.822
Nd: 0.500 0.500 0.000
Nd: 0.773 0.773 0.178
Nd: 0.864 0.864 0.911
Y: 0.409 0.409 0.271
Y: 0.591 0.591 0.729

---

Material: La4NdY10
Method: DFT, PBE
State: relaxed

Total magnetic moment   0.00 Bohr magnetons per cell
Crystal system   tetragonal
Formation energy from the elements   0.34 eV per atom
Total energy   -5.600 eV/atom
D(E_F)   24.09 states/eV per cell
Volume   34.86 Å³/atom

Cell: 8.808 8.808 8.808 Å, 112.10 112.10 104.33°
Fractional positions:
La: 0.064 0.665 0.730
La: 0.335 0.064 0.399
La: 0.665 0.936 0.601
La: 0.936 0.335 0.270
Nd: 0.000 0.000 0.000
Y: 0.133 0.225 0.677
Y: 0.225 0.548 0.092
Y: 0.250 0.750 0.500
Y: 0.452 0.544 0.677
Y: 0.456 0.133 0.908
Y: 0.544 0.867 0.092
Y: 0.548 0.456 0.323
Y: 0.750 0.250 0.500
Y: 0.775 0.452 0.908
Y: 0.867 0.775 0.323

---

Material: LaNd2Y4
Method: DFT, PBE
State: relaxed

Total magnetic moment   0.00 Bohr magnetons per cell
Crystal system   monoclinic
Formation energy from the elements   0.03 eV per atom
Total energy   -5.728 eV/atom
D(E_F)   21.14 states/eV per cell
Volume   33.89 Å³/atom

Cell: 17.075 3.595 8.905 Å, 90.00 119.78 90.00°
Fractional positions:
La: 0.000 0.000 0.000
La: 0.500 0.500 0.000
Nd: 0.069 0.000 0.429
Nd: 0.431 0.500 0.571
Nd: 0.569 0.500 0.429
Nd: 0.931 0.000 0.571
Y: 0.147 0.500 0.843
Y: 0.208 0.500 0.294
Y: 0.292 0.000 0.706
Y: 0.353 0.000 0.157
Y: 0.647 0.000 0.843
Y: 0.708 0.000 0.294
Y: 0.792 0.500 0.706
Y: 0.853 0.500 0.157

---

Material: LaNdY4
Method: DFT, PBE
State: relaxed

Total magnetic moment   0.00 Bohr magnetons per cell
Crystal system   monoclinic
Formation energy from the elements   0.01 eV per atom
Total energy   -5.912 eV/atom
D(E_F)   17.30 states/eV per cell
Volume   33.59 Å³/atom

Cell: 6.296 6.296 12.292 Å, 104.78 104.78 59.96°
Fractional positions:
La: 0.082 0.918 0.750
La: 0.918 0.082 0.250
Nd: 0.000 0.500 0.500
Nd: 0.500 0.000 0.000
Y: 0.168 0.664 0.000
Y: 0.250 0.417 0.250
Y: 0.336 0.832 0.500
Y: 0.417 0.250 0.750
Y: 0.583 0.750 0.250
Y: 0.664 0.168 0.500
Y: 0.750 0.583 0.750
Y: 0.832 0.336 0.000

---

Material: La5Nd6Y
Method: DFT, PBE
State: relaxed

Total magnetic moment   0.00 Bohr magnetons per cell
Crystal system   monoclinic
Formation energy from the elements   0.01 eV per atom
Total energy   -4.962 eV/atom
D(E_F)   20.80 states/eV per cell
Volume   35.75 Å³/atom

Cell: 6.406 6.406 12.259 Å, 95.04 95.04 119.99°
Fractional positions:
La: 0.000 0.000 0.000
La: 0.167 0.833 0.500
La: 0.334 0.666 0.000
La: 0.666 0.334 0.000
La: 0.833 0.167 0.500
Nd: 0.085 0.418 0.251
Nd: 0.249 0.249 0.749
Nd: 0.418 0.085 0.251
Nd: 0.582 0.915 0.749
Nd: 0.751 0.751 0.251
Nd: 0.915 0.582 0.749
Y: 0.500 0.500 0.500

---

Material: La12Nd2Y5
Method: DFT, PBE
State: relaxed

Total magnetic moment   0.00 Bohr magnetons per cell
Crystal system   monoclinic
Formation energy from the elements   0.11 eV per atom
Total energy   -5.202 eV/atom
D(E_F)   36.30 states/eV per cell
Volume   35.76 Å³/atom

Cell: 12.272 12.272 5.847 Å, 103.55 103.55 53.07°
Fractional positions:
La: 0.025 0.584 0.798
La: 0.078 0.078 0.130
La: 0.126 0.706 0.393
La: 0.294 0.874 0.607
La: 0.379 0.379 0.937
La: 0.416 0.975 0.202
La: 0.584 0.025 0.798
La: 0.621 0.621 0.063
La: 0.706 0.126 0.393
La: 0.874 0.294 0.607
La: 0.922 0.922 0.870
La: 0.975 0.416 0.202
Nd: 0.300 0.700 0.000
Nd: 0.700 0.300 0.000
Y: 0.209 0.209 0.738
Y: 0.316 0.316 0.368
Y: 0.500 0.500 0.500
Y: 0.684 0.684 0.632
Y: 0.791 0.791 0.262

---

Material: La4NdY15
Method: DFT, PBE
State: relaxed

Total magnetic moment   0.00 Bohr magnetons per cell
Crystal system   tetragonal
Formation energy from the elements   0.03 eV per atom
Total energy   -6.043 eV/atom
D(E_F)   33.24 states/eV per cell
Volume   33.43 Å³/atom

Cell: 5.128 5.128 25.423 Å, 90.00 90.00 90.00°
Fractional positions:
La: 0.000 0.000 0.100
La: 0.000 0.000 0.300
La: 0.000 0.000 0.700
La: 0.000 0.000 0.900
Nd: 0.000 0.000 0.500
Y: 0.000 0.500 0.000
Y: 0.000 0.500 0.200
Y: 0.000 0.500 0.401
Y: 0.000 0.500 0.599
Y: 0.000 0.500 0.800
Y: 0.500 0.000 0.000
Y: 0.500 0.000 0.200
Y: 0.500 0.000 0.401
Y: 0.500 0.000 0.599
Y: 0.500 0.000 0.800
Y: 0.500 0.500 0.100
Y: 0.500 0.500 0.301
Y: 0.500 0.500 0.500
Y: 0.500 0.500 0.699
Y: 0.500 0.500 0.900